# NaTaSN2

A relaxed structure of NaTaSN2 (GGA-PBE, Alexandria).

```
NaTaSN2
1.0
3.9655 0.0000 0.0000
0.0000 3.9655 0.0000
0.0000 0.0000 4.5933
S N Ta Na
1 2 1 1
Direct
0.0000 0.0000 0.5000
0.0000 0.5000 0.0000
0.5000 0.0000 0.0000
0.5000 0.5000 0.5000
0.0000 0.0000 0.0000
```

Properties
As for the uncorrected formation energy: 1992 meV per atom. The magnetization comes out at 2.1 μB per cell. Its space group is P4/mmm. The energy above the lowest structure with this stoichiometry is 1075.8 kJ/mol of formula units.